No. 1
Compound: NbSiPt
Source: OQMD via LeMat-Bulk
Functional: PBE-GGA
Structure: optimized geometry

```
NbSiPt
1.0
-2.6217 -5.7689 -1.1414
0.9822 1.9482 6.0577
-3.5397 1.5967 0.0604
Nb Pt Si
3 3 3
direct
0.5916 0.0000 0.5000 Nb
0.4084 0.4084 0.5000 Nb
0.0000 0.5916 0.5000 Nb
0.2618 0.0000 0.0000 Pt
0.0000 0.2618 0.0000 Pt
0.7382 0.7382 0.0000 Pt
0.6667 0.3333 0.0000 Si
0.3333 0.6667 0.0000 Si
0.0000 0.0000 0.5000 Si
```



No. 2
Compound: HgTeH4O6
Source: OQMD via LeMat-Bulk
Functional: PBE-GGA
Structure: optimized geometry

```
HgTeH4O6
1.0
10.3608 0.0000 0.0000
0.0000 6.0806 0.0000
0.0000 0.0000 7.9125
H Hg O Te
16 4 24 4
direct
0.3639 0.7227 0.1947 H
0.8639 0.7773 0.1947 H
0.2842 0.1280 0.3645 H
0.7842 0.3720 0.3645 H
0.2412 0.5826 0.3892 H
0.7412 0.9174 0.3892 H
0.0861 0.0088 0.3922 H
0.5861 0.4912 0.3922 H
0.1361 0.2227 0.6947 H
0.6361 0.2773 0.6947 H
0.2158 0.6280 0.8645 H
0.7158 0.8720 0.8645 H
0.2588 0.0826 0.8892 H
0.7588 0.4174 0.8892 H
0.4139 0.5088 0.8922 H
0.9139 0.9912 0.8922 H
0.5098 0.1358 0.1136 Hg
0.0098 0.3642 0.1136 Hg
0.9902 0.6358 0.6136 Hg
0.4902 0.8642 0.6136 Hg
0.2816 0.0349 0.0087 O
0.7816 0.4651 0.0087 O
0.0131 0.0520 0.0122 O
0.5131 0.4480 0.0122 O
0.2732 0.6602 0.1990 O
0.7732 0.8398 0.1990 O
0.0136 0.6807 0.2142 O
0.5136 0.8193 0.2142 O
0.1538 0.0535 0.3009 O
0.6538 0.4465 0.3009 O
0.3743 0.1786 0.4021 O
0.8743 0.3214 0.4021 O
0.2184 0.5349 0.5087 O
0.7184 0.9651 0.5087 O
0.4869 0.5520 0.5122 O
0.9869 0.9480 0.5122 O
0.2268 0.1602 0.6990 O
0.7268 0.3398 0.6990 O
0.4864 0.1807 0.7142 O
0.9864 0.3193 0.7142 O
0.3462 0.5535 0.8009 O
0.8462 0.9465 0.8009 O
0.1257 0.6786 0.9021 O
0.6257 0.8214 0.9021 O
0.6428 0.6407 0.1041 Te
0.1428 0.8593 0.1041 Te
0.8572 0.1408 0.6041 Te
0.3572 0.3593 0.6041 Te
```



No. 3
Compound: ScZn
Source: OQMD via LeMat-Bulk
Functional: PBE-GGA
Structure: optimized geometry

## Properties
* ΔE_f: -71.9 meV/atom

```
ScZn
1.0
5.4578 0.0000 0.0000
0.0000 11.9773 0.0000
0.0000 0.0000 4.6477
Sc Zn
8 8
direct
0.9898 0.5062 0.0000 Sc
0.5183 0.6277 0.0000 Sc
0.5183 0.8723 0.0000 Sc
0.9898 0.9938 0.0000 Sc
0.3434 0.0063 0.5000 Sc
0.8150 0.1278 0.5000 Sc
0.8150 0.3722 0.5000 Sc
0.3434 0.4937 0.5000 Sc
0.4843 0.1247 0.0000 Zn
0.0356 0.2500 0.0000 Zn
0.4843 0.3753 0.0000 Zn
0.0076 0.7500 0.0000 Zn
0.3258 0.2500 0.5000 Zn
0.8491 0.6248 0.5000 Zn
0.2977 0.7500 0.5000 Zn
0.8491 0.8752 0.5000 Zn
```



No. 4
Compound: Sr2Bi4PdPt
Source: OQMD via LeMat-Bulk
Functional: PBE-GGA
Structure: optimized geometry

```
Sr2Bi4PdPt
1.0
5.2615 0.0000 0.0000
0.0000 2.3856 9.6015
0.0000 -2.3856 9.6015
Bi Pd Pt Sr
4 1 1 2
direct
0.0000 0.2567 0.2567 Bi
0.5000 0.4599 0.4599 Bi
0.0000 0.5413 0.5413 Bi
0.5000 0.7429 0.7429 Bi
0.0000 0.6821 0.6821 Pd
0.5000 0.3184 0.3184 Pt
0.5000 0.1070 0.1070 Sr
0.0000 0.8918 0.8918 Sr
```



No. 5
Compound: TbScCSe
Source: OQMD via LeMat-Bulk
Functional: PBE-GGA
Structure: optimized geometry

## Properties
* polymorph energy (0 for the lowest one): 0.0 meV/atom

```
TbScCSe
1.0
3.6497 0.0000 0.0000
-1.8248 3.1607 0.0000
0.0000 0.0000 12.8595
C Sc Se Tb
2 2 2 2
direct
0.0000 0.0000 0.4940 C
0.0000 0.0000 0.9940 C
0.3333 0.6667 0.3994 Sc
0.6667 0.3333 0.8994 Sc
0.6667 0.3333 0.2585 Se
0.3333 0.6667 0.7585 Se
0.3333 0.6667 0.0981 Tb
0.6667 0.3333 0.5981 Tb
```



No. 6
Compound: KTbAs
Source: OQMD via LeMat-Bulk
Functional: PBE-GGA
Structure: optimized geometry

```
KTbAs
1.0
-5.0092 -0.1922 0.6645
-2.8994 3.8620 -1.4996
-3.0610 -0.5365 -3.9892
As K Tb
1 1 1
direct
0.0000 0.0000 0.0000 As
0.2500 0.2500 0.2500 K
0.7500 0.7500 0.7500 Tb
```



| no. | E_tot (eV per atom) |
| --- | --- |
| 1 | -7.95 |
| 2 | -4.76 |
| 3 | -3.87 |
| 4 | -4.41 |
| 5 | -7.04 |
| 6 | -3.85 |